! KMn2AuCl8, relaxed, DFT PBE; values from VASP
! DOS(E_F) = 0.39 states/eV/cell
! E = -4.06 eV per atom
! uncorrected formation energy = -0.93 eV per atom
! space group = P-3, No. 147
&SYSTEM
  ibrav = 0, nat = 12, ntyp = 4
/
ATOMIC_SPECIES
K 39.10 K.upf
Mn 54.94 Mn.upf
Au 196.97 Au.upf
Cl 35.45 Cl.upf
CELL_PARAMETERS angstrom
-4.189 -3.736 3.555
6.200 1.014 2.163
-2.781 7.401 4.502
ATOMIC_POSITIONS angstrom
K 0.000 0.000 0.000
Mn -1.437 -0.261 4.242
Mn 0.667 4.939 5.978
Au -1.391 3.701 2.251
Cl -0.013 6.749 7.078
Cl -0.405 1.513 3.244
Cl -3.707 -0.197 4.015
Cl -0.757 -2.070 3.141
Cl 2.937 4.876 6.205
Cl -0.365 3.166 6.976
Cl 0.010 5.231 3.812
Cl -0.780 -0.552 6.408